Entry 1:
A relaxed structure of Pr6Nd5Sm2, computed with GGA-PBE.

The structure belongs to space group Pbam (No. 55); the cell edges are 11.986, 21.129 and 3.695 Å and the angles 90.00°, 90.00° and 90.00°. The distinct sites, in fractional coordinates, are Pr at (0.062, 0.079, 0.000), Pr at (0.081, 0.367, 0.000), Pr at (0.177, 0.635, 0.500), Nd at (0.000, 0.500, 0.500), Nd at (0.086, 0.225, 0.500), Nd at (0.198, 0.945, 0.500) and Sm at (0.171, 0.787, 0.000).

For the formation energy, the calculation gives 88 meV per atom.


Entry 2:
A relaxed structure of Pr7NdSm3, computed with GGA-PBE.

The structure belongs to space group P3m1 (No. 156); the cell edges are 7.3233, 7.3233 and 8.8123 Å and the angles 90.00°, 90.00° and 120.00°. The distinct sites, in fractional coordinates, are Pr at (0.0000, 0.0000, 0.0000), Pr at (0.0000, 0.5000, 0.0128), Pr at (0.1668, 0.3336, 0.6673), Nd at (0.6667, 0.3333, 0.6802) and Sm at (0.3336, 0.1668, 0.3405).

The polymorph energy (0 for the lowest one) comes out at 0.0346 eV per atom. For the formation energy, the calculation gives 172 meV per atom.


Entry 3:
A relaxed structure of Pr2Nd8Sm3, computed with GGA-PBE.

The structure belongs to space group C2/m (No. 12); the cell edges are 13.407, 11.949 and 6.282 Å and the angles 90.00°, 114.04° and 90.00°. The distinct sites, in fractional coordinates, are Pr at (0.215, 0.000, 0.337), Nd at (0.050, 0.000, 0.778), Nd at (0.152, 0.500, 0.058), Nd at (0.170, 0.242, 0.670), Sm at (0.000, 0.255, 0.000) and Sm at (0.000, 0.500, 0.500).

The polymorph energy (0 for the lowest one) comes out at 0.0000 eV per atom. For the formation energy, the calculation gives 153 meV per atom.